Record 1
An optimized crystal structure of PmBiPdAu. Source: the Alexandria database, functional PBE.

abc: 5.0692 5.0692 5.0692
angles: 60.00 60.00 60.00
Last column: nearest neighbours and their distance in Å.
Element x y z (fractional)
Bi  0.2500  0.2500  0.2500  4 Pd 3.10, 4 Au 3.10
Pd  0.5000  0.5000  0.5000  4 Pm 3.10, 4 Bi 3.10
Au  0.0000  0.0000  0.0000  4 Bi 3.10, 4 Pm 3.10
Pm  0.7500  0.7500  0.7500  4 Pd 3.10, 4 Au 3.10

Summary:
Symmetry: F-43m (216)
Raw total energy, eV/atom: -4.910
DFT formation energy, kJ/mol of atoms: -61

Record 2
An optimized crystal structure of Bi6PdPtAu2. Source: the Alexandria database, functional PBE.

abc: 7.5795 6.9024 10.0762
angles: 90.00 85.93 90.00
Last column: nearest neighbours and their distance in Å.
Element x y z (fractional)
Bi  0.8548  0.8567  0.9144  1 Pt 2.86, 1 Pd 2.94, 2 Au 2.96-3.14
Bi  0.8139  0.4838  0.2525  1 Pt 2.82, 1 Pd 2.95, 2 Au 2.97-3.02
Pt  0.0000  0.5000  0.0000  6 Bi 2.80-2.86
Bi  0.1861  0.5162  0.7475  1 Pt 2.82, 1 Pd 2.95, 2 Au 2.97-3.02
Au  0.0458  0.8208  0.2974  7 Bi 2.90-3.24, 1 Pd 3.02
Bi  0.1452  0.1433  0.0856  1 Pt 2.86, 1 Pd 2.94, 2 Au 2.96-3.14
Bi  0.3134  0.6621  0.0800  1 Pt 2.80, 1 Pd 2.82, 2 Au 2.90-3.08
Bi  0.6861  0.9838  0.2475  1 Pt 2.82, 1 Pd 2.95, 2 Au 2.97-3.02
Bi  0.6866  0.3379  0.9200  1 Pt 2.80, 1 Pd 2.82, 2 Au 2.90-3.08
Bi  0.3139  0.0162  0.7525  1 Pt 2.82, 1 Pd 2.95, 2 Au 2.97-3.02
Au  0.9542  0.1792  0.7026  7 Bi 2.90-3.24, 1 Pd 3.02
Au  0.4542  0.3208  0.2026  7 Bi 2.90-3.24, 1 Pd 3.02
Bi  0.1866  0.1621  0.4200  1 Pt 2.80, 1 Pd 2.82, 2 Au 2.90-3.08
Pd  0.5000  0.0000  0.0000  6 Bi 2.82-2.95, 2 Au 3.02
Bi  0.8134  0.8379  0.5800  1 Pt 2.80, 1 Pd 2.82, 2 Au 2.90-3.08
Pd  0.0000  0.5000  0.5000  6 Bi 2.82-2.95, 2 Au 3.02
Au  0.5458  0.6792  0.7974  7 Bi 2.90-3.24, 1 Pd 3.02
Pt  0.5000  0.0000  0.5000  6 Bi 2.80-2.86
Bi  0.6452  0.3567  0.5856  1 Pt 2.86, 1 Pd 2.94, 2 Au 2.96-3.14
Bi  0.3548  0.6433  0.4144  1 Pt 2.86, 1 Pd 2.94, 2 Au 2.96-3.14

Summary:
Symmetry: P2_1/c (14)
Raw total energy, eV/atom: -4.238
DFT formation energy, kJ/mol of atoms: -13

Record 3
An optimized crystal structure of PuBiPdAu. Source: the Alexandria database, functional PBE.

abc: 5.0403 5.0403 5.0403
angles: 60.00 60.00 60.00
Last column: nearest neighbours and their distance in Å.
Element x y z (fractional)
Bi  0.7500  0.7500  0.7500  4 Pd 3.09, 4 Au 3.09
Pd  0.5000  0.5000  0.5000  4 Bi 3.09, 4 Pu 3.09
Au  0.0000  0.0000  0.0000  4 Bi 3.09, 4 Pu 3.09
Pu  0.2500  0.2500  0.2500  4 Pd 3.09, 4 Au 3.09

Summary:
Symmetry: F-43m (216)
Raw total energy, eV/atom: -7.039
DFT formation energy, kJ/mol of atoms: -35

Record 4
An optimized crystal structure of BiPdRhAu. Source: the Alexandria database, functional PBE.

abc: 4.6900 4.6900 4.6900
angles: 60.00 60.00 60.00
Last column: nearest neighbours and their distance in Å.
Element x y z (fractional)
Au  0.2500  0.2500  0.2500  4 Rh 2.87, 4 Pd 2.87
Bi  0.7500  0.7500  0.7500  4 Rh 2.87, 4 Pd 2.87
Rh  0.0000  0.0000  0.0000  4 Bi 2.87, 4 Au 2.87
Pd  0.5000  0.5000  0.5000  4 Bi 2.87, 4 Au 2.87

Summary:
Symmetry: F-43m (216)
Raw total energy, eV/atom: -4.992
DFT formation energy, kJ/mol of atoms: -6

Record 5
An optimized crystal structure of Bi2Sb2PdAu2. Source: the Alexandria database, functional PBE.

abc: 4.2442 7.3543 7.3335
angles: 55.75 73.35 90.26
Last column: nearest neighbours and their distance in Å.
Element x y z (fractional)
Bi  0.4897  0.2488  0.0235  2 Pd 2.87, 2 Au 2.97
Sb  0.2342  0.1920  0.5215  1 Pd 2.78, 3 Au 2.78-2.99
Bi  0.5103  0.7512  0.9765  2 Pd 2.87, 2 Au 2.97
Sb  0.7658  0.8080  0.4785  1 Pd 2.78, 3 Au 2.78-2.99
Pd  0.0000  0.0000  0.0000  2 Sb 2.78, 4 Bi 2.87, 2 Au 3.00
Au  0.8296  0.4966  0.3370  3 Sb 2.78-2.99, 2 Bi 2.97, 1 Pd 3.00
Au  0.1704  0.5034  0.6630  3 Sb 2.78-2.99, 2 Bi 2.97, 1 Pd 3.00

Summary:
Symmetry: P-1 (2)
Raw total energy, eV/atom: -4.068

Record 6
An optimized crystal structure of Bi2Sb2Pd7Au. Source: the Alexandria database, functional PBE.

abc: 3.9893 3.9893 16.3199
angles: 79.78 79.78 90.14
Last column: nearest neighbours and their distance in Å.
Element x y z (fractional)
Pd  0.5000  0.5000  0.0000  4 Au 2.82, 8 Pd 2.87
Au  0.0000  0.0000  0.0000  12 Pd 2.82-2.87
Pd  0.2182  0.2182  0.4257  5 Sb 2.69-2.84, 1 Bi 2.80, 1 Pd 2.99
Bi  0.3212  0.3212  0.2487  5 Pd 2.73-2.80
Pd  0.7818  0.7818  0.5743  5 Sb 2.69-2.84, 1 Bi 2.80, 1 Pd 2.99
Pd  0.5948  0.0939  0.8695  2 Bi 2.73-2.74, 6 Pd 2.82-2.87, 2 Au 2.87
Sb  0.7215  0.7215  0.4160  5 Pd 2.69-2.84
Pd  0.4052  0.9061  0.1305  2 Bi 2.73-2.74, 6 Pd 2.82-2.87, 2 Au 2.87
Bi  0.6788  0.6788  0.7513  5 Pd 2.73-2.80
Sb  0.2785  0.2785  0.5840  5 Pd 2.69-2.84
Pd  0.9061  0.4052  0.1305  2 Bi 2.73-2.74, 6 Pd 2.82-2.87, 2 Au 2.87
Pd  0.0939  0.5948  0.8695  2 Bi 2.73-2.74, 6 Pd 2.82-2.87, 2 Au 2.87

Summary:
Symmetry: C2/m (12)
Raw total energy, eV/atom: -4.809

Record 7
An optimized crystal structure of BiSbPd2Au. Source: the Alexandria database, functional PBE.

abc: 4.9792 5.1601 4.9792
angles: 90.00 90.00 90.00
Last column: nearest neighbours and their distance in Å.
Element x y z (fractional)
Au  0.0000  0.5000  0.0000  2 Sb 2.58
Sb  0.0000  0.0000  0.0000  4 Pd 2.49, 2 Au 2.58
Pd  0.0000  0.0000  0.5000  2 Sb 2.49
Bi  0.5000  0.5000  0.5000  4 Au 3.52, 8 Pd 3.59
Pd  0.5000  0.0000  0.0000  2 Sb 2.49

Summary:
Symmetry: P4/mmm (123)
Raw total energy, eV/atom: -4.022

Record 8
An optimized crystal structure of SiBiPd2Au. Source: the Alexandria database, functional PBE.

abc: 5.0730 5.0730 5.2578
angles: 90.00 90.00 90.00
Last column: nearest neighbours and their distance in Å.
Element x y z (fractional)
Si  0.5000  0.5000  0.5000  4 Au 3.59, 8 Pd 3.65
Au  0.0000  0.0000  0.5000  2 Bi 2.63
Pd  0.5000  0.0000  0.0000  2 Bi 2.54
Pd  0.0000  0.5000  0.0000  2 Bi 2.54
Bi  0.0000  0.0000  0.0000  4 Pd 2.54, 2 Au 2.63

Summary:
Symmetry: P4/mmm (123)
Raw total energy, eV/atom: -3.641

Record 9
An optimized crystal structure of SmBiPdAu. Source: the Alexandria database, functional PBE.

abc: 5.0559 5.0559 5.0559
angles: 60.00 60.00 60.00
Last column: nearest neighbours and their distance in Å.
Element x y z (fractional)
Bi  0.2500  0.2500  0.2500  4 Pd 3.10, 4 Au 3.10
Au  0.0000  0.0000  0.0000  4 Bi 3.10, 4 Sm 3.10
Pd  0.5000  0.5000  0.5000  4 Bi 3.10, 4 Sm 3.10
Sm  0.7500  0.7500  0.7500  4 Pd 3.10, 4 Au 3.10

Summary:
Symmetry: F-43m (216)
Raw total energy, eV/atom: -4.901
DFT formation energy, kJ/mol of atoms: -61

Record 10
An optimized crystal structure of Sn2Bi2Pd7Au. Source: the Alexandria database, functional PBE.

abc: 3.9654 3.9654 16.4219
angles: 80.27 80.27 90.62
Last column: nearest neighbours and their distance in Å.
Element x y z (fractional)
Pd  0.5000  0.5000  0.0000  4 Au 2.79-2.82, 8 Pd 2.87
Bi  0.3238  0.3238  0.2484  5 Pd 2.73-2.81
Sn  0.2853  0.2853  0.5851  5 Pd 2.77-2.82
Pd  0.0920  0.5917  0.8697  2 Bi 2.73-2.74, 6 Pd 2.79-2.87, 2 Au 2.87
Sn  0.7147  0.7147  0.4149  5 Pd 2.77-2.82
Pd  0.9080  0.4083  0.1303  2 Bi 2.73-2.74, 6 Pd 2.79-2.87, 2 Au 2.87
Pd  0.7970  0.7970  0.5755  5 Sn 2.77-2.82, 1 Bi 2.81, 1 Pd 2.93
Bi  0.6762  0.6762  0.7516  5 Pd 2.73-2.81
Pd  0.2030  0.2030  0.4245  5 Sn 2.77-2.82, 1 Bi 2.81, 1 Pd 2.93
Au  0.0000  0.0000  0.0000  12 Pd 2.79-2.87
Pd  0.5917  0.0920  0.8697  2 Bi 2.73-2.74, 6 Pd 2.79-2.87, 2 Au 2.87
Pd  0.4083  0.9080  0.1303  2 Bi 2.73-2.74, 6 Pd 2.79-2.87, 2 Au 2.87

Summary:
Symmetry: C2/m (12)
Raw total energy, eV/atom: -4.801
DFT formation energy, kJ/mol of atoms: -18

Record 11
An optimized crystal structure of SrBiPdAu. Source: the Alexandria database, functional PBE.

abc: 5.1500 5.1500 5.1500
angles: 60.00 60.00 60.00
Last column: nearest neighbours and their distance in Å.
Element x y z (fractional)
Bi  0.7500  0.7500  0.7500  4 Au 3.15, 4 Pd 3.15
Au  0.0000  0.0000  0.0000  4 Sr 3.15, 4 Bi 3.15
Sr  0.2500  0.2500  0.2500  4 Pd 3.15, 4 Au 3.15
Pd  0.5000  0.5000  0.5000  4 Bi 3.15, 4 Sr 3.15

Summary:
Symmetry: F-43m (216)
Raw total energy, eV/atom: -3.996
DFT formation energy, kJ/mol of atoms: -47

Record 12
An optimized crystal structure of Sr2Bi4PdAu3. Source: the Alexandria database, functional PBE.

abc: 4.9123 4.9123 11.7541
angles: 90.00 90.00 90.00
Last column: nearest neighbours and their distance in Å.
Element x y z (fractional)
Bi  0.5000  0.0000  0.6222  3 Au 2.76-2.85, 2 Pd 2.85
Au  0.0000  0.0000  0.5000  4 Bi 2.85
Bi  0.5000  0.5000  0.0000  4 Au 2.97
Au  0.0000  0.5000  0.1427  5 Bi 2.76-2.97
Bi  0.0000  0.0000  0.0000  4 Au 2.97
Bi  0.0000  0.5000  0.3778  3 Au 2.76-2.85, 2 Pd 2.85
Sr  0.0000  0.5000  0.7299  6 Au 3.65-3.78, 2 Pd 3.65, 8 Bi 3.70-4.01
Sr  0.5000  0.0000  0.2701  2 Pd 3.65, 6 Au 3.65-3.78, 8 Bi 3.70-4.01
Au  0.5000  0.0000  0.8573  5 Bi 2.76-2.97
Pd  0.5000  0.5000  0.5000  4 Bi 2.85

Summary:
Symmetry: P-4m2 (115)
Raw total energy, eV/atom: -3.864
DFT formation energy, kJ/mol of atoms: -46